# 1
Compound: CdRuRh2
Source: Alexandria via LeMat-Bulk
Functional: PBEsol
Structure: optimized geometry

```
CdRuRh2
1.0
2.7444 0.0000 0.0000
0.0000 2.7444 0.0000
0.0000 0.0000 7.7359
Cd Ru Rh
1 1 2
Cartesian
0.0000 0.0000 0.0000
0.0000 0.0000 3.8679
1.3722 1.3722 2.1046
1.3722 1.3722 5.6312
```

Calculated values
The value obtained for the total moment is 0.000 μB/atom. For the total energy, the calculation gives -6.92 eV per atom. The calculated formation energy is -0.0063 eV per atom. As for the theoretical density: 11.95 g/cm3.



# 2
Compound: BaLi2ZrTc
Source: Alexandria via LeMat-Bulk
Functional: PBEsol
Structure: optimized geometry

```
BaLi2ZrTc
1.0
4.8367 0.0000 0.0000
0.0000 4.8367 0.0000
0.0000 0.0000 5.1469
Ba Li Zr Tc
1 2 1 1
Cartesian
0.0000 0.0000 0.0000
0.0000 2.4183 2.5734
2.4183 0.0000 2.5734
2.4183 2.4183 0.0000
0.0000 0.0000 2.5734
```

Calculated values
The value obtained for the total moment is 0.324 μB/atom. For the total energy, the calculation gives -3.92 eV per atom. The calculated formation energy is 1.3674 eV per atom. As for the theoretical density: 4.70 g/cm3.



# 3
Compound: Tl2TeSe
Source: Alexandria via LeMat-Bulk
Functional: PBEsol
Structure: optimized geometry

```
Tl2TeSe
1.0
4.2823 0.0000 0.0000
0.0000 4.2823 0.0000
0.0000 0.0000 6.2726
Tl Te Se
2 1 1
Cartesian
0.0000 0.0000 0.0000
2.1412 2.1412 2.8742
0.0000 0.0000 3.1633
2.1412 2.1412 6.2362
```

Calculated values
Its polymorph energy (0 for the lowest one) is 0 meV/atom. The value obtained for the total moment is 0.000 μB/atom. The formation energy without anion corrections comes out at -0.182 eV/atom. For the total energy, the calculation gives -3.34 eV per atom. As for the theoretical density: 8.88 g/cm3.